<i>
# LiYSb2

Crystalline LiYSb2 at its relaxed geometry (PBE, Alexandria).

## Properties
crystal system: tetragonal

abc: 4.860 4.860 4.192
angles: 90.00 90.00 90.00
Space group P4/mmm (No. 123)
Asymmetric unit:
Li 0.000 0.000 0.000
Y 0.500 0.500 0.000
Sb 0.000 0.500 0.500

***

<ii>
# LiYSb2

Crystalline LiYSb2 at its relaxed geometry (PBE, Alexandria).

## Properties
crystal system: cubic

abc: 7.396 7.396 7.396
angles: 90.00 90.00 90.00
Space group F-43m (No. 216)
Asymmetric unit:
Li 0.000 0.000 0.000
Y 0.250 0.250 0.250
Sb 0.000 0.000 0.500
Sb 0.250 0.250 0.750

***

According to the calculations, the structures order from most to least stable as <i>, <ii>.

***

<i>
# AsAu3

Crystalline AsAu3 at its relaxed geometry (PBE, Alexandria).

## Properties
crystal system: hexagonal

abc: 2.9324 2.9324 9.9289
angles: 90.00 90.00 120.00
Space group P-6m2 (No. 187)
Asymmetric unit:
As 0.0000 0.0000 0.0000
Au 0.0000 0.0000 0.5000
Au 0.6667 0.3333 0.2496

***

<ii>
# AsAu3

Crystalline AsAu3 at its relaxed geometry (PBE, Alexandria).

## Properties
crystal system: cubic

abc: 4.197 4.197 4.197
angles: 90.00 90.00 90.00
Space group Pm-3m (No. 221)
Asymmetric unit:
As 0.000 0.000 0.000
Au 0.000 0.500 0.500

***

According to the calculations, the structures order from most to least stable as <i>, <ii>.

***

<i>
# NbCrTc

Crystalline NbCrTc at its relaxed geometry (PBE, Alexandria).

## Properties
crystal system: trigonal

abc: 4.3667 4.3667 5.4052
angles: 90.00 90.00 120.00
Space group P-3m1 (No. 164)
Asymmetric unit:
Nb 0.3333 0.6667 0.1664
Cr 0.0000 0.0000 0.0000
Cr 0.0000 0.0000 0.5000
Tc 0.3333 0.6667 0.6619

***

<ii>
# NbCrTc

Crystalline NbCrTc at its relaxed geometry (PBE, Alexandria).

## Properties
crystal system: trigonal

abc: 4.3842 4.3842 5.3711
angles: 90.00 90.00 120.00
Space group P-3m1 (No. 164)
Asymmetric unit:
Nb 0.3333 0.6667 0.0887
Cr 0.0000 0.0000 0.2777
Tc 0.3333 0.6667 0.5890

***

According to the calculations, the structures order from most to least stable as <i>, <ii>.